#1
Density functional theory data (PBE) for a geometry-optimized Pr4Ho3Th2 structure.

Its density of states at the Fermi level is 14.30 states/eV/f.u.

The structure belongs to space group C2/c (No. 15); the cell edges are 16.386, 11.940 and 6.221 Å and the angles 90.00°, 97.93° and 90.00°. The asymmetric unit holds Pr at (0.052, 0.137, 0.017), Pr at (0.216, 0.371, 0.849), Ho at (0.000, 0.392, 0.750), Ho at (0.170, 0.115, 0.580) and Th at (0.107, 0.363, 0.310).


#2
Density functional theory data (PBE) for a geometry-optimized Pr4Ho3Th2 structure.

Its density of states at the Fermi level is 16.21 states/eV/f.u.

The structure belongs to space group P3m1 (No. 156); the cell edges are 3.5965, 3.5965 and 27.2336 Å and the angles 90.00°, 90.00° and 120.00°. The asymmetric unit holds Pr at (0.0000, 0.0000, 0.0000), Pr at (0.0000, 0.0000, 0.2146), Pr at (0.3333, 0.6667, 0.3319), Pr at (0.3333, 0.6667, 0.5486), Ho at (0.0000, 0.0000, 0.4389), Ho at (0.3333, 0.6667, 0.1067), Ho at (0.3333, 0.6667, 0.7664), Th at (0.0000, 0.0000, 0.6596) and Th at (0.0000, 0.0000, 0.8722).


Stability check: which of them is most stable? #2.


#1
Density functional theory data (PBE) for a geometry-optimized Pr4Ho2Th structure.

Its density of states at the Fermi level is 10.22 states/eV/f.u.

The structure belongs to space group Cc (No. 9); the cell edges are 6.463, 24.462 and 6.893 Å and the angles 90.00°, 117.95° and 90.00°. The asymmetric unit holds Pr at (0.000, 0.018, 0.000), Pr at (0.010, 0.445, 0.955), Pr at (0.370, 0.232, 0.740), Pr at (0.426, 0.195, 0.285), Ho at (0.404, 0.343, 0.327), Ho at (0.447, 0.093, 0.913) and Th at (0.469, 0.375, 0.870).


#2
Density functional theory data (PBE) for a geometry-optimized Pr4Ho2Th structure.

Its density of states at the Fermi level is 12.45 states/eV/f.u.

The structure belongs to space group Imma (No. 74); the cell edges are 6.854, 11.695 and 12.213 Å and the angles 90.00°, 90.00° and 90.00°. The asymmetric unit holds Pr at (0.000, 0.003, 0.156), Pr at (0.224, 0.250, 0.988), Ho at (0.000, 0.000, 0.500), Ho at (0.000, 0.250, 0.721) and Th at (0.250, 0.250, 0.250).


Stability check: which of them is most stable? #1.


#1
Density functional theory data (PBE) for a geometry-optimized Pr2HoTh structure.

Its density of states at the Fermi level is 6.36 states/eV/f.u.

The structure belongs to space group R3m (No. 160, hexagonal axes); the cell edges are 3.6471, 3.6471 and 35.3441 Å and the angles 90.00°, 90.00° and 120.00°. The asymmetric unit holds Pr at (0.0000, 0.0000, 0.0000), Pr at (0.0000, 0.0000, 0.1684), Ho at (0.0000, 0.0000, 0.4178) and Th at (0.0000, 0.0000, 0.5844).


#2
Density functional theory data (PBE) for a geometry-optimized Pr2HoTh structure.

Its density of states at the Fermi level is 5.51 states/eV/f.u.

The structure belongs to space group R-3m (No. 166, hexagonal axes); the cell edges are 3.5253, 3.5253 and 38.1734 Å and the angles 90.00°, 90.00° and 120.00°. The asymmetric unit holds Pr at (0.0000, 0.0000, 0.0896), Ho at (0.0000, 0.0000, 0.5000) and Th at (0.0000, 0.0000, 0.0000).


Stability check: which of them is most stable? #1.